*a*
TlGeF3 | PBE-GGA | optimized geometry

Cell lengths 3.693, 3.693, 6.807 Å; angles 90.00, 90.00, 90.00 degrees
Element x y z (fractional)
F 0.000 0.000 0.748
F 0.500 0.000 0.410
F 0.000 0.500 0.410
Tl 0.000 0.000 0.115
Ge 0.500 0.500 0.581

Summary:
The value obtained for the theoretical density is 5.98 g/cm3. The volume is 18.56 Å³ per atom. As for the density of states at the Fermi level: 0.000 states/eV per atom.

---

*b*
TlGeF3 | PBE-GGA | optimized geometry

Cell lengths 4.359, 4.359, 9.790 Å; angles 90.00, 90.00, 120.00 degrees
Element x y z (fractional)
F 0.333 0.667 0.450
F 0.667 0.333 0.950
F 0.333 0.667 0.050
F 0.667 0.333 0.550
F 0.000 0.000 0.250
F 0.000 0.000 0.750
Tl 0.667 0.333 0.250
Tl 0.333 0.667 0.750
Ge 0.000 0.000 0.000
Ge 0.000 0.000 0.500

Summary:
The value obtained for the theoretical density is 6.89 g/cm3. The volume is 16.11 Å³ per atom. As for the density of states at the Fermi level: 0.000 states/eV per atom.

---

*c*
TlGeF3 | PBE-GGA | optimized geometry

Cell lengths 21.287, 6.045, 7.056 Å; angles 90.00, 153.46, 90.00 degrees
Element x y z (fractional)
Ge 0.213 0.234 0.892
Ge 0.287 0.734 0.608
Ge 0.713 0.266 0.392
Ge 0.787 0.766 0.108
F 0.589 0.731 0.578
F 0.189 0.507 0.952
F 0.201 0.375 0.620
F 0.799 0.625 0.380
F 0.811 0.493 0.048
F 0.299 0.875 0.880
F 0.689 0.993 0.452
F 0.411 0.269 0.422
F 0.911 0.231 0.922
F 0.701 0.125 0.120
F 0.089 0.769 0.078
F 0.311 0.007 0.548
Tl 0.986 0.748 0.181
Tl 0.014 0.252 0.819
Tl 0.486 0.752 0.681
Tl 0.514 0.248 0.319

Summary:
The value obtained for the theoretical density is 5.47 g/cm3. The volume is 20.28 Å³ per atom. As for the density of states at the Fermi level: 0.000 states/eV per atom.

---

Which of them is least stable? Easy: *b*.

---

*a*
TlGeF3 | PBE-GGA | optimized geometry

Cell lengths 6.819, 6.819, 7.391 Å; angles 90.00, 90.00, 132.41 degrees
Element x y z (fractional)
F 0.970 0.549 0.250
F 0.549 0.970 0.750
F 0.000 0.000 0.500
F 0.000 0.000 0.000
F 0.030 0.451 0.750
F 0.451 0.030 0.250
Tl 0.616 0.384 0.750
Tl 0.384 0.616 0.250
Ge 0.903 0.097 0.750
Ge 0.097 0.903 0.250

Summary:
The value obtained for the theoretical density is 4.37 g/cm3. The volume is 25.37 Å³ per atom. As for the density of states at the Fermi level: 0.000 states/eV per atom.

---

*b*
TlGeF3 | PBE-GGA | optimized geometry

Cell lengths 6.102, 7.229, 4.895 Å; angles 107.87, 92.06, 77.21 degrees
Element x y z (fractional)
F 0.404 0.206 0.703
F 0.163 0.063 0.014
F 0.807 0.820 0.580
F 0.298 0.843 0.471
F 0.942 0.599 0.037
F 0.702 0.457 0.349
Tl 0.688 0.052 0.174
Tl 0.418 0.610 0.877
Ge 0.967 0.559 0.401
Ge 0.138 0.104 0.650

Summary:
The value obtained for the theoretical density is 5.54 g/cm3. The volume is 20.03 Å³ per atom. As for the density of states at the Fermi level: 0.000 states/eV per atom.

---

Which of them is least stable? Easy: *a*.

---

*a*
TlGeF3 | PBE-GGA | optimized geometry

Cell lengths 7.081, 7.081, 7.081 Å; angles 54.43, 54.43, 54.43 degrees
Element x y z (fractional)
F 0.104 0.820 0.313
F 0.820 0.313 0.104
F 0.896 0.180 0.687
F 0.687 0.896 0.180
F 0.313 0.104 0.820
F 0.180 0.687 0.896
Ge 0.865 0.865 0.865
Ge 0.135 0.135 0.135
Tl 0.668 0.668 0.668
Tl 0.332 0.332 0.332

Summary:
The value obtained for the theoretical density is 5.08 g/cm3. The volume is 21.85 Å³ per atom. As for the density of states at the Fermi level: 0.000 states/eV per atom.

---

*b*
TlGeF3 | PBE-GGA | optimized geometry

Cell lengths 7.726, 7.726, 6.117 Å; angles 90.00, 90.00, 140.32 degrees
Element x y z (fractional)
Tl 0.868 0.132 0.750
Tl 0.132 0.868 0.250
F 0.000 0.000 0.000
F 0.000 0.000 0.500
F 0.098 0.422 0.250
F 0.902 0.578 0.750
F 0.422 0.098 0.750
F 0.578 0.902 0.250
Ge 0.574 0.426 0.750
Ge 0.426 0.574 0.250

Summary:
The value obtained for the theoretical density is 4.76 g/cm3. The volume is 23.31 Å³ per atom. As for the density of states at the Fermi level: 0.000 states/eV per atom.

---

*c*
TlGeF3 | PBE-GGA | optimized geometry

Cell lengths 6.022, 7.681, 4.882 Å; angles 70.78, 90.54, 82.71 degrees
Element x y z (fractional)
Ge 0.168 0.095 0.642
Ge 0.821 0.680 0.764
Tl 0.682 0.120 0.117
Tl 0.328 0.613 0.320
F 0.630 0.493 0.871
F 0.074 0.502 0.833
F 0.238 0.051 0.038
F 0.434 0.206 0.537
F 0.839 0.692 0.145
F 0.314 0.860 0.677

Summary:
The value obtained for the theoretical density is 5.25 g/cm3. The volume is 21.12 Å³ per atom. As for the density of states at the Fermi level: 0.000 states/eV per atom.

---

Which of them is least stable? Easy: *b*.

---

*a*
TlGeF3 | PBE-GGA | optimized geometry

Cell lengths 4.898, 7.048, 6.310 Å; angles 92.82, 95.17, 77.74 degrees
Element x y z (fractional)
F 0.236 0.300 0.247
F 0.675 0.164 0.017
F 0.433 0.577 0.685
F 0.294 0.949 0.036
F 0.624 0.614 0.310
F 0.544 0.922 0.590
Tl 0.835 0.735 0.965
Tl 0.778 0.242 0.463
Ge 0.324 0.752 0.460
Ge 0.281 0.207 0.963

Summary:
The value obtained for the theoretical density is 5.24 g/cm3. The volume is 21.19 Å³ per atom. As for the density of states at the Fermi level: 0.000 states/eV per atom.

---

*b*
TlGeF3 | PBE-GGA | optimized geometry

Cell lengths 4.900, 4.900, 4.900 Å; angles 80.81, 80.81, 80.81 degrees
Element x y z (fractional)
F 0.141 0.710 0.710
F 0.710 0.141 0.710
F 0.710 0.710 0.141
Tl 0.356 0.356 0.356
Ge 0.957 0.957 0.957

Summary:
The value obtained for the theoretical density is 4.88 g/cm3. The volume is 22.72 Å³ per atom. As for the density of states at the Fermi level: 0.000 states/eV per atom.

---

*c*
TlGeF3 | PBE-GGA | optimized geometry

Cell lengths 4.774, 4.760, 5.016 Å; angles 103.32, 97.20, 87.44 degrees
Element x y z (fractional)
F 0.913 0.484 0.565
F 0.487 0.515 0.878
F 0.499 0.905 0.573
Tl 0.089 0.110 0.922
Ge 0.512 0.496 0.502

Summary:
The value obtained for the theoretical density is 5.04 g/cm3. The volume is 22.01 Å³ per atom. As for the density of states at the Fermi level: 0.000 states/eV per atom.

---

Which of them is least stable? Easy: *b*.

---

*a*
TlGe3F | PBE-GGA | optimized geometry

Cell lengths 4.754, 4.754, 4.754 Å; angles 90.00, 90.00, 90.00 degrees
Element x y z (fractional)
Ge 0.000 0.000 0.500
Ge 0.000 0.500 0.000
Ge 0.500 0.000 0.000
F 0.000 0.000 0.000
Tl 0.500 0.500 0.500

Summary:
The value obtained for the theoretical density is 6.82 g/cm3. The volume is 21.49 Å³ per atom. As for the density of states at the Fermi level: 0.512 states/eV per atom.

---

*b*
TlGe3F | PBE-GGA | optimized geometry

Cell lengths 5.448, 5.448, 5.448 Å; angles 90.00, 90.00, 90.00 degrees
Element x y z (fractional)
Ge 0.500 0.000 0.000
Ge 0.000 0.000 0.500
Ge 0.000 0.500 0.000
F 0.500 0.500 0.500
Tl 0.000 0.000 0.000

Summary:
The value obtained for the theoretical density is 4.53 g/cm3. The volume is 32.34 Å³ per atom. As for the density of states at the Fermi level: 0.696 states/eV per atom.

---

Which of them is least stable? Easy: *b*.

---

*a*
TlGe2F8 | PBE-GGA | optimized geometry

Cell lengths 3.957, 7.667, 7.667 Å; angles 120.04, 89.97, 90.03 degrees
Element x y z (fractional)
F 0.275 0.196 0.396
F 0.725 0.396 0.200
F 0.725 0.804 0.604
F 0.274 0.200 0.804
F 0.225 0.667 0.333
F 0.726 0.800 0.196
F 0.775 0.333 0.667
F 0.275 0.604 0.800
Ge 0.276 0.333 0.667
Ge 0.724 0.667 0.333
Tl 0.000 0.000 0.000

Summary:
The value obtained for the theoretical density is 4.14 g/cm3. The volume is 18.31 Å³ per atom. As for the density of states at the Fermi level: 0.294 states/eV per atom.

---

*b*
TlGe2F8 | PBE-GGA | optimized geometry

Cell lengths 5.173, 6.692, 6.692 Å; angles 53.61, 82.68, 82.68 degrees
Element x y z (fractional)
F 0.513 0.915 0.370
F 0.487 0.085 0.630
F 0.776 0.466 0.466
F 0.924 0.243 0.243
F 0.076 0.757 0.757
F 0.224 0.534 0.534
F 0.513 0.370 0.915
F 0.487 0.630 0.085
Ge 0.630 0.340 0.340
Ge 0.370 0.660 0.660
Tl 0.000 0.000 0.000

Summary:
The value obtained for the theoretical density is 4.51 g/cm3. The volume is 16.78 Å³ per atom. As for the density of states at the Fermi level: 0.277 states/eV per atom.

---

Which of them is least stable? Easy: *b*.